[1]
Computed, not measured: a geometry-optimized NdGd2Cd4Hg2 structure at the PBE level of DFT.

Geometry as extended XYZ:
```
9
Lattice="4.5855 0.0000 0.0000 0.0000 6.5672 3.7692 0.0000 -6.5672 3.7692" Properties=species:S:1:pos:R:3 pbc="T T T"
Cd 2.2928 -1.5729 6.6333
Cd 0.0000 0.0000 0.0371
Cd 2.2928 0.0000 1.8187
Cd 2.2928 1.5729 6.6333
Hg 2.2928 2.2183 3.7550
Hg 2.2928 -2.2183 3.7550
Gd 0.0000 -3.7649 5.3634
Gd 0.0000 3.7649 5.3634
Nd 0.0000 0.0000 4.3329
```

Summary:
Space-group type: Amm2 (38)

[2]
Computed, not measured: a geometry-optimized GdHoCd structure at the PBE level of DFT.

Geometry as extended XYZ:
```
3
Lattice="0.0000 3.5894 3.5894 3.5894 0.0000 3.5894 3.5894 3.5894 0.0000" Properties=species:S:1:pos:R:3 pbc="T T T"
Ho 0.0000 0.0000 0.0000
Gd 5.3841 5.3841 5.3841
Cd 1.7947 1.7947 1.7947
```

Summary:
Space-group type: F-43m (216)

[3]
Computed, not measured: a geometry-optimized Gd2HoCd4In2 structure at the PBE level of DFT.

Geometry as extended XYZ:
```
9
Lattice="-3.1293 -2.5813 -2.2151 3.7664 -6.1945 1.8977 -5.3655 2.6173 4.5298" Properties=species:S:1:pos:R:3 pbc="T T T"
Gd 1.6036 -2.6426 0.8141
Gd -2.2877 1.1122 1.9358
Cd -1.5950 -3.5679 6.4109
Cd -1.9515 -2.1561 0.4476
Cd -5.6278 0.6907 2.3236
Cd 1.2871 -5.9818 0.3305
In -3.8779 -1.6214 2.5460
In -0.8522 -4.5411 1.6738
Ho -0.9180 -2.0535 3.6899
```

Summary:
Space-group type: Amm2 (38)

[4]
Computed, not measured: a geometry-optimized GdHo2Mg3CdIn2 structure at the PBE level of DFT.

Geometry as extended XYZ:
```
9
Lattice="4.6304 0.0000 0.0000 0.0000 6.5411 3.7525 0.0000 -6.5411 3.7525" Properties=species:S:1:pos:R:3 pbc="T T T"
Cd 0.0000 0.0000 7.4848
Mg 2.3152 4.9677 4.6529
Mg 2.3152 0.0000 5.6994
Mg 2.3152 -4.9677 4.6529
Ho 0.0000 -3.7506 2.1558
Ho 0.0000 3.7506 2.1558
In 2.3152 2.1949 3.7582
In 2.3152 -2.1949 3.7582
Gd 0.0000 0.0000 3.2073
```

Summary:
Space-group type: Amm2 (38)

no.,total moment (μB/cell),DFT total energy (eV/atom)
1,0.0,-2.41
2,0.0,-2.88
3,0.0,-2.95
4,0.0,-3.12